## CaWF3 (GGA-PBEsol)

Data for an optimized crystal structure of CaWF3.

Lattice parameters (Å, degrees): 4.360 4.360 4.360 90.00 90.00 90.00
Site moments in Bohr magnetons follow the coordinates.
Fractional coordinates of all 5 atoms:
1 F 0.000 0.000 0.500  0.04
2 W 0.500 0.500 0.500  3.58
3 F 0.500 0.000 0.000  0.04
4 Ca 0.000 0.000 0.000  0.01
5 F 0.000 0.500 0.000  0.04

- Formation energy (no corrections): -1269 meV per atom
- Symmetry: Pm-3m
- VASP energy: -28.07 eV per cell

## Ca3WF (GGA-PBEsol)

Data for an optimized crystal structure of Ca3WF.

Lattice parameters (Å, degrees): 4.781 4.781 4.781 90.00 90.00 90.00
Site moments in Bohr magnetons follow the coordinates.
Fractional coordinates of all 5 atoms:
1 Ca 0.000 0.000 0.500  0.02
2 Ca 0.000 0.500 0.000  0.02
3 Ca 0.500 0.000 0.000  0.02
4 W 0.500 0.500 0.500  1.54
5 F 0.000 0.000 0.000  0.00

- Formation energy (no corrections): -315 meV per atom
- Symmetry: Pm-3m
- VASP energy: -23.71 eV per cell

## CaWF2 (GGA-PBEsol)

Data for an optimized crystal structure of CaWF2.

Lattice parameters (Å, degrees): 4.560 4.560 4.560 60.00 60.00 60.00
Site moments in Bohr magnetons follow the coordinates.
Fractional coordinates of all 4 atoms:
1 W 0.500 0.500 0.500  3.63
2 Ca 0.000 0.000 0.000  0.21
3 F 0.250 0.250 0.250  0.14
4 F 0.750 0.750 0.750  0.14

- Formation energy (no corrections): -314 meV per atom
- Symmetry: Fm-3m
- VASP energy: -21.05 eV per cell